Record 1
Material: Ca2HfTl
Method: DFT, GGA-PBE
State: relaxed

Cell: 8.6995 8.6995 6.3633 Å, 90.00 90.00 90.00°
Last column: nearest neighbours and their distance in Å.
Space group I-42d (No. 122)
Asymmetric unit:
Ca (0.2257, 0.2500, 0.1250) (multiplicity 8)  2 Tl 3.04, 2 Ca 3.21, 2 Hf 3.33
Hf (0.0000, 0.0000, 0.5000) (multiplicity 4)  2 Tl 3.18, 4 Ca 3.33
Tl (0.0000, 0.0000, 0.0000) (multiplicity 4)  4 Ca 3.04, 2 Hf 3.18

Results
* DOS(E_F): 2.940 states/eV/f.u.
* E_form: 0.48 eV per atom
* excess energy over the best structure of this formula in the dataset: 0.62 eV per formula unit
* calculated volume: 120.4 Å³/f.u.

=====

Record 2
Material: CaHfTl2
Method: DFT, GGA-PBE
State: relaxed

Cell: 3.2992 3.2992 9.1791 Å, 90.00 90.00 90.00°
Last column: nearest neighbours and their distance in Å.
Space group P4/mmm (No. 123)
Asymmetric unit:
Ca (0.0000, 0.0000, 0.0000) (multiplicity 1)  4 Ca 3.30, 8 Tl 3.35
Hf (0.0000, 0.0000, 0.5000) (multiplicity 1)  8 Tl 3.20, 4 Hf 3.30
Tl (0.5000, 0.5000, 0.2616) (multiplicity 2)  4 Hf 3.20, 4 Tl 3.30, 4 Ca 3.35

Results
* DOS(E_F): 2.294 states/eV/f.u.
* E_form: -0.10 eV per atom
* excess energy over the best structure of this formula in the dataset: 0.00 eV per formula unit
* calculated volume: 99.9 Å³/f.u.

=====

What is the formula in the first record? Ca2HfTl